No. 1
A plane-wave DFT calculation with PBE was carried out for an optimized crystal structure of Na2LiCl.

Computed properties:
Its energy above the lowest structure with this stoichiometry is 0.0000 eV per atom. Its total moment is 0.0 μB per formula unit. For the raw total energy, the calculation gives -2.363 eV/atom. The calculation puts the calculated density at 1.29 g/cm³. The value obtained for the uncorrected formation energy is -0.7636 eV per atom.

The structure in CIF format:
```
data_Na2LiCl
_chemical_formula_sum 'Na6 Li3 Cl3'
_symmetry_space_group_name_H-M 'R -3 m'
_symmetry_Int_Tables_number 166
_symmetry_space_group_name_Hall '-R 3 2"'
_cell_length_a 3.7645
_cell_length_b 3.7645
_cell_length_c 27.8116
_cell_angle_alpha 90.00
_cell_angle_beta 90.00
_cell_angle_gamma 120.00
loop_
_atom_site_label
_atom_site_type_symbol
_atom_site_fract_x
_atom_site_fract_y
_atom_site_fract_z
Na1 Na 0.0000 0.0000 0.2302
Li1 Li 0.0000 0.0000 0.0000
Cl1 Cl 0.0000 0.0000 0.5000
```



No. 2
A plane-wave DFT calculation with PBE was carried out for an optimized crystal structure of Na3LiCl4.

Computed properties:
Its energy above the lowest structure with this stoichiometry is 0.0000 eV per atom. Its total moment is 0.0 μB per formula unit. For the raw total energy, the calculation gives -3.447 eV/atom. The calculation puts the calculated density at 2.10 g/cm³. The value obtained for the uncorrected formation energy is -1.7896 eV per atom.

The structure in CIF format:
```
data_Na3LiCl4
_chemical_formula_sum 'Na6 Li2 Cl8'
_symmetry_space_group_name_H-M 'C m m 2'
_symmetry_Int_Tables_number 35
_symmetry_space_group_name_Hall 'C 2 -2'
_cell_length_a 7.8872
_cell_length_b 11.1280
_cell_length_c 3.9304
_cell_angle_alpha 90.00
_cell_angle_beta 90.00
_cell_angle_gamma 90.00
loop_
_atom_site_label
_atom_site_type_symbol
_atom_site_fract_x
_atom_site_fract_y
_atom_site_fract_z
Na1 Na 0.0000 0.0000 0.0000
Na2 Na 0.2500 0.2500 0.5001
Li1 Li 0.0000 0.5000 0.0008
Cl1 Cl 0.0000 0.2578 0.0006
Cl2 Cl 0.2360 0.5000 0.5000
```



No. 3
A plane-wave DFT calculation with PBE was carried out for an optimized crystal structure of NaLi4Cl5.

Computed properties:
Its energy above the lowest structure with this stoichiometry is 0.0061 eV per atom. Its total moment is 0.0 μB per formula unit. For the raw total energy, the calculation gives -3.608 eV/atom. The calculation puts the calculated density at 2.05 g/cm³. The value obtained for the uncorrected formation energy is -1.7877 eV per atom.

The structure in CIF format:
```
data_NaLi4Cl5
_chemical_formula_sum 'Na2 Li8 Cl10'
_symmetry_space_group_name_H-M 'I 4/m m m'
_symmetry_Int_Tables_number 139
_symmetry_space_group_name_Hall '-I 4 2'
_cell_length_a 3.7569
_cell_length_b 3.7569
_cell_length_c 26.1808
_cell_angle_alpha 90.00
_cell_angle_beta 90.00
_cell_angle_gamma 90.00
loop_
_atom_site_label
_atom_site_type_symbol
_atom_site_fract_x
_atom_site_fract_y
_atom_site_fract_z
Na1 Na 0.0000 0.0000 0.0000
Li1 Li 0.0000 0.0000 0.2019
Li2 Li 0.0000 0.0000 0.3947
Cl1 Cl 0.0000 0.0000 0.1063
Cl2 Cl 0.0000 0.0000 0.2981
Cl3 Cl 0.0000 0.0000 0.5000
```